VASP calculation (PBE+U) on VTeIr2F after structural relaxation.

Summary:
E ... -22.31 eV for the cell shown

a b c (Å): 4.8264 4.8264 5.3707
angles (deg): 90.00 90.00 90.00
Fractional positions:
V  0.0000  0.0000  0.0000
Te  0.0000  0.0000  0.5000
Ir  0.0000  0.5000  0.5000
Ir  0.5000  0.0000  0.5000
F  0.5000  0.5000  0.0000